Computed, not measured: crystalline La2TmPa at its relaxed geometry at the GGA-PBE level of DFT.

- calculated formation energy (eV/atom) = 0.26
- final energy (eV per atom) = -5.698

abc: 4.948 5.011 5.011
angles: 90.00 90.00 90.00
Fractional positions:
Pa1 0.500 0.500 0.500
Tm1 0.500 0.000 0.000
La1 0.000 0.000 0.500
La2 0.000 0.500 0.000

Computed, not measured: crystalline La2TmPa at its relaxed geometry at the GGA-PBE level of DFT.

- calculated formation energy (eV/atom) = 0.16
- final energy (eV per atom) = -5.798

abc: 3.460 3.460 10.371
angles: 90.00 90.00 90.00
Fractional positions:
Pa1 0.500 0.500 0.000
Tm1 0.500 0.500 0.500
La1 0.000 0.000 0.768
La2 0.000 0.000 0.232

Computed, not measured: crystalline LaTmPa4 at its relaxed geometry at the GGA-PBE level of DFT.

- calculated formation energy (eV/atom) = 0.22
- final energy (eV per atom) = -7.677

abc: 6.161 6.161 6.161
angles: 60.00 60.00 60.00
Fractional positions:
Pa1 0.626 0.626 0.123
Pa2 0.626 0.123 0.626
Pa3 0.626 0.626 0.626
Pa4 0.123 0.626 0.626
Tm1 0.000 0.000 0.000
La1 0.250 0.250 0.250

Computed, not measured: crystalline La2TmPa at its relaxed geometry at the GGA-PBE level of DFT.

- calculated formation energy (eV/atom) = 0.30
- final energy (eV per atom) = -5.659

abc: 3.366 3.366 12.676
angles: 82.37 82.37 60.00
Fractional positions:
Pa1 0.000 0.000 0.000
Tm1 0.500 0.500 0.500
La1 0.084 0.084 0.747
La2 0.916 0.916 0.253

Computed, not measured: crystalline LaPaV at its relaxed geometry at the GGA-PBE level of DFT.

- calculated formation energy (eV/atom) = 0.30
- final energy (eV per atom) = -7.547

abc: 4.721 4.002 10.585
angles: 77.74 90.00 126.15
Fractional positions:
V1 0.321 0.641 0.023
V2 0.679 0.359 0.977
La1 0.317 0.633 0.355
La2 0.683 0.367 0.645
Pa1 0.061 0.122 0.833
Pa2 0.939 0.878 0.167

Computed, not measured: crystalline La2YPa at its relaxed geometry at the GGA-PBE level of DFT.

- calculated formation energy (eV/atom) = 0.31
- final energy (eV per atom) = -6.147

abc: 3.382 3.382 12.768
angles: 82.39 82.39 60.00
Fractional positions:
Y1 0.500 0.500 0.500
Pa1 0.000 0.000 0.000
La1 0.083 0.083 0.750
La2 0.917 0.917 0.250

Computed, not measured: crystalline LaYPa at its relaxed geometry at the GGA-PBE level of DFT.

- calculated formation energy (eV/atom) = 0.47
- final energy (eV per atom) = -6.490

abc: 6.392 3.250 9.584
angles: 99.76 109.48 90.00
Fractional positions:
Pa1 0.632 0.132 0.264
Pa2 0.368 0.868 0.736
La1 0.758 0.500 0.000
La2 0.242 0.500 0.000
Y1 0.189 0.689 0.377
Y2 0.811 0.311 0.623

Computed, not measured: crystalline LaYPa at its relaxed geometry at the GGA-PBE level of DFT.

- calculated formation energy (eV/atom) = 0.16
- final energy (eV per atom) = -6.800

abc: 3.413 3.413 8.230
angles: 101.97 101.97 90.00
Fractional positions:
Y1 0.298 0.298 0.596
Pa1 0.950 0.950 0.899
La1 0.602 0.602 0.205

Computed, not measured: crystalline LaY2Pa at its relaxed geometry at the GGA-PBE level of DFT.

- calculated formation energy (eV/atom) = 0.37
- final energy (eV per atom) = -6.470

abc: 5.630 5.630 5.643
angles: 60.08 60.08 60.00
Fractional positions:
Y1 0.242 0.242 0.273
Y2 0.758 0.758 0.727
Pa1 0.000 0.000 0.000
La1 0.500 0.500 0.500

Computed, not measured: crystalline La2YPa at its relaxed geometry at the GGA-PBE level of DFT.

- calculated formation energy (eV/atom) = 0.15
- final energy (eV per atom) = -6.307

abc: 3.472 3.472 10.510
angles: 90.00 90.00 90.00
Fractional positions:
Y1 0.500 0.500 0.500
Pa1 0.500 0.500 0.000
La1 0.000 0.000 0.773
La2 0.000 0.000 0.227

Computed, not measured: crystalline LaYPa at its relaxed geometry at the GGA-PBE level of DFT.

- calculated formation energy (eV/atom) = 0.15
- final energy (eV per atom) = -6.809

abc: 3.464 3.464 8.750
angles: 90.00 90.00 120.00
Fractional positions:
Y1 0.667 0.333 0.314
Pa1 0.000 0.000 0.002
La1 0.333 0.667 0.684

Computed, not measured: crystalline LaPa2Zn at its relaxed geometry at the GGA-PBE level of DFT.

- calculated formation energy (eV/atom) = 0.24
- final energy (eV per atom) = -6.058

abc: 3.145 3.145 11.732
angles: 82.30 82.30 60.00
Fractional positions:
Zn1 0.500 0.500 0.500
Pa1 0.093 0.093 0.720
Pa2 0.907 0.907 0.280
La1 0.000 0.000 0.000